(1)
Material: CsZn2Tc2
Method: DFT, GGA-PBE
State: optimized geometry

Summary:
ΔH_f (0 K)   0.86 eV per atom
Crystal system   tetragonal
E   -3.96 eV/atom

abc: 5.0733 5.0733 8.6897
angles: 90.00 90.00 90.00
Last column: nearest neighbours and their distance in Å.
Space group I4/mmm (No. 139)
Symmetry-distinct sites (fractional):
Cs1 0.0000 0.0000 0.0000 (multiplicity 2)  2 Tc 3.26, 8 Zn 3.34
Zn1 0.0000 0.5000 0.2500 (multiplicity 4)  4 Tc 2.76
Tc1 0.0000 0.0000 0.3751 (multiplicity 4)  1 Tc 2.17

---

(2)
Material: Cs3ZrTc
Method: DFT, GGA-PBE
State: optimized geometry

Summary:
ΔH_f (0 K)   1.99 eV per atom
Crystal system   cubic
E   -2.30 eV/atom

abc: 7.0744 7.0744 7.0744
angles: 90.00 90.00 90.00
Last column: nearest neighbours and their distance in Å.
Space group Pm-3m (No. 221)
Symmetry-distinct sites (fractional):
Cs1 0.0000 0.0000 0.5000 (multiplicity 3)  2 Zr 3.54
Zr1 0.0000 0.0000 0.0000 (multiplicity 1)  6 Cs 3.54
Tc1 0.5000 0.5000 0.5000 (multiplicity 1)  12 Cs 5.00

---

(3)
Material: CsZrTc3
Method: DFT, GGA-PBE
State: optimized geometry

Summary:
ΔH_f (0 K)   2.72 eV per atom
Crystal system   cubic
E   -5.38 eV/atom

abc: 4.8263 4.8263 4.8263
angles: 90.00 90.00 90.00
Last column: nearest neighbours and their distance in Å.
Space group Pm-3m (No. 221)
Symmetry-distinct sites (fractional):
Cs1 0.0000 0.0000 0.0000 (multiplicity 1)  6 Tc 2.41
Zr1 0.5000 0.5000 0.5000 (multiplicity 1)  12 Tc 3.41
Tc1 0.0000 0.0000 0.5000 (multiplicity 3)  2 Cs 2.41